Material: YHo7Tm2
Method: DFT, PBE
State: relaxed

- spin magnetization (Bohr magnetons per cell) = 0.0
- ΔH_f (0 K) (meV/atom) = 50.1
- total DFT energy (no corrections) (eV/atom) = -4.695
- Fermi-level density of states (states/eV/f.u.) = 17.73

Cell lengths 5.386, 6.969, 16.579 Å; angles 90.00, 90.00, 90.00 degrees
Space group Immm (No. 71)
Asymmetric unit:
Y (0.000, 0.000, 0.000)
Ho (0.000, 0.000, 0.200)
Ho (0.000, 0.249, 0.389)
Ho (0.000, 0.500, 0.000)
Tm (0.000, 0.500, 0.199)